Compound: MnSbPb2O6
Source: Alexandria via LeMat-Bulk
Functional: PBE+U
Structure: optimized geometry Values from VASP.

Structure (Quantum ESPRESSO input):
```
&SYSTEM
  ibrav = 0, nat = 20, ntyp = 4
/
ATOMIC_SPECIES
Mn 54.94 Mn.upf
Sb 121.76 Sb.upf
Pb 207.20 Pb.upf
O 16.00 O.upf
CELL_PARAMETERS angstrom
5.550 0.000 0.000
0.000 5.540 0.000
-5.438 0.000 8.692
ATOMIC_POSITIONS crystal
Mn 0.000 0.000 0.000
Mn 0.000 0.500 0.500
Sb 0.500 0.000 0.500
Sb 0.500 0.500 0.000
Pb 0.250 0.009 0.750
Pb 0.250 0.491 0.250
Pb 0.750 0.509 0.750
Pb 0.750 0.991 0.250
O 0.183 0.209 0.482
O 0.183 0.291 0.982
O 0.277 0.700 0.485
O 0.277 0.800 0.985
O 0.309 0.502 0.771
O 0.309 0.998 0.271
O 0.691 0.002 0.729
O 0.691 0.498 0.229
O 0.723 0.200 0.015
O 0.723 0.300 0.515
O 0.817 0.709 0.018
O 0.817 0.791 0.518
```

Space-group type: P2_1/c, No. 14
Final energy (hartree per atom): -0.22778